No. 1
Below is a relaxed La5Pr5Zn2 crystal, with properties calculated at the PBE-GGA level.

Cell: 16.055 5.189 10.814 Å, 90.00 119.04 90.00°
Space group C2/m (No. 12)
Inequivalent atoms, fractional coordinates:
La 0.000 0.000 0.000 [2 per cell]
La 0.109 0.000 0.794 [4 per cell]
La 0.162 0.000 0.491 [4 per cell]
Pr 0.000 0.500 0.500 [2 per cell]
Pr 0.085 0.500 0.242 [4 per cell]
Pr 0.247 0.000 0.208 [4 per cell]
Zn 0.146 0.500 0.999 [4 per cell]

density of states at the Fermi level	37.1	states/eV/cell
spin magnetization	0.000	μB per formula unit
V	787.7	Å³/cell
electronic total energy	-4.28	eV/atom
density	6.5	g/cm3


No. 2
Below is a relaxed La6PrZn2 crystal, with properties calculated at the PBE-GGA level.

Cell: 13.028 3.838 12.283 Å, 90.00 108.91 90.00°
Space group C2/m (No. 12)
Inequivalent atoms, fractional coordinates:
La 0.029 0.000 0.328 [4 per cell]
La 0.187 0.500 0.874 [4 per cell]
La 0.190 0.500 0.594 [4 per cell]
Pr 0.000 0.000 0.000 [2 per cell]
Zn 0.148 0.500 0.198 [4 per cell]

density of states at the Fermi level	22.7	states/eV/cell
spin magnetization	0.000	μB per formula unit
V	581.1	Å³/cell
electronic total energy	-4.24	eV/atom
E above lowest polymorph	0.0	meV per atom
density	6.3	g/cm3


No. 3
Below is a relaxed La3Pr2Zn2 crystal, with properties calculated at the PBE-GGA level.

Cell: 11.988 5.566 6.422 Å, 90.00 99.39 90.00°
Space group C2/m (No. 12)
Inequivalent atoms, fractional coordinates:
La 0.000 0.000 0.000 [2 per cell]
La 0.154 0.000 0.543 [4 per cell]
Pr 0.172 0.500 0.914 [4 per cell]
Zn 0.065 0.500 0.352 [4 per cell]

density of states at the Fermi level	16.0	states/eV/cell
spin magnetization	0.000	μB per formula unit
V	422.8	Å³/cell
electronic total energy	-3.98	eV/atom
E above lowest polymorph	0.0	meV per atom
density	6.5	g/cm3


No. 4
Below is a relaxed La9Pr4Zn11 crystal, with properties calculated at the PBE-GGA level.

Cell: 15.777 22.352 3.653 Å, 90.00 90.00 90.00°
Space group Cmmm (No. 65)
Inequivalent atoms, fractional coordinates:
La 0.000 0.000 0.000 [2 per cell]
La 0.115 0.238 0.000 [8 per cell]
La 0.118 0.413 0.000 [8 per cell]
Pr 0.160 0.092 0.000 [8 per cell]
Zn 0.000 0.133 0.500 [4 per cell]
Zn 0.000 0.329 0.500 [4 per cell]
Zn 0.000 0.500 0.500 [2 per cell]
Zn 0.235 0.319 0.500 [8 per cell]
Zn 0.240 0.500 0.500 [4 per cell]

density of states at the Fermi level	46.8	states/eV/cell
spin magnetization	0.000	μB per formula unit
V	1288.4	Å³/cell
electronic total energy	-3.47	eV/atom
density	6.5	g/cm3


No. 5
Below is a relaxed LaPrZn2 crystal, with properties calculated at the PBE-GGA level.

Cell: 7.471 7.471 7.471 Å, 90.00 90.00 90.00°
Space group Fm-3m (No. 225)
Inequivalent atoms, fractional coordinates:
La 0.000 0.000 0.000 [4 per cell]
Pr 0.000 0.000 0.500 [4 per cell]
Zn 0.250 0.250 0.250 [8 per cell]

density of states at the Fermi level	16.0	states/eV/cell
spin magnetization	0.000	μB per formula unit
V	416.9	Å³/cell
electronic total energy	-3.37	eV/atom
E above lowest polymorph	0.0	meV per atom
density	6.5	g/cm3


No. 6
Below is a relaxed La3Pr2Zn3 crystal, with properties calculated at the PBE-GGA level.

Cell: 3.803 5.454 22.428 Å, 90.00 90.00 90.00°
Space group Immm (No. 71)
Inequivalent atoms, fractional coordinates:
La 0.000 0.000 0.000 [2 per cell]
La 0.000 0.500 0.116 [4 per cell]
Pr 0.000 0.000 0.229 [4 per cell]
Zn 0.000 0.000 0.500 [2 per cell]
Zn 0.000 0.500 0.384 [4 per cell]

density of states at the Fermi level	19.9	states/eV/cell
spin magnetization	0.000	μB per formula unit
V	465.2	Å³/cell
electronic total energy	-3.75	eV/atom
density	6.4	g/cm3


No. 7
Below is a relaxed La4Pr3Zn crystal, with properties calculated at the PBE-GGA level.

Cell: 3.758 3.758 19.438 Å, 90.00 90.00 90.00°
Space group P4/mmm (No. 123)
Inequivalent atoms, fractional coordinates:
La 0.000 0.000 0.095 [2 per cell]
La 0.000 0.000 0.365 [2 per cell]
Pr 0.500 0.500 0.233 [2 per cell]
Pr 0.500 0.500 0.500 [1 per cell]
Zn 0.500 0.500 0.000 [1 per cell]

density of states at the Fermi level	12.2	states/eV/cell
spin magnetization	0.000	μB per formula unit
V	274.5	Å³/cell
electronic total energy	-4.49	eV/atom
density	6.3	g/cm3


No. 8
Below is a relaxed La2PrZn crystal, with properties calculated at the PBE-GGA level.

Cell: 3.768 3.768 8.933 Å, 90.00 90.00 90.00°
Space group P4/mmm (No. 123)
Inequivalent atoms, fractional coordinates:
La 0.000 0.000 0.208 [2 per cell]
Pr 0.500 0.500 0.500 [1 per cell]
Zn 0.500 0.500 0.000 [1 per cell]

density of states at the Fermi level	4.8	states/eV/cell
spin magnetization	0.000	μB per formula unit
V	126.8	Å³/cell
electronic total energy	-4.13	eV/atom
E above lowest polymorph	0.0	meV per atom
density	6.3	g/cm3


No. 9
Below is a relaxed LaPrZn3 crystal, with properties calculated at the PBE-GGA level.

Cell: 3.681 28.136 4.659 Å, 90.00 90.00 90.00°
Space group Cmcm (No. 63)
Inequivalent atoms, fractional coordinates:
La 0.000 0.072 0.250 [4 per cell]
Pr 0.000 0.208 0.750 [4 per cell]
Zn 0.000 0.330 0.750 [4 per cell]
Zn 0.000 0.382 0.250 [4 per cell]
Zn 0.000 0.477 0.250 [4 per cell]

density of states at the Fermi level	17.3	states/eV/cell
spin magnetization	0.000	μB per formula unit
V	482.5	Å³/cell
electronic total energy	-3.02	eV/atom
density	6.6	g/cm3


No. 10
Below is a relaxed La6PrZn2 crystal, with properties calculated at the PBE-GGA level.

Cell: 5.159 5.159 11.169 Å, 90.00 90.00 90.00°
Space group P4/mmm (No. 123)
Inequivalent atoms, fractional coordinates:
La 0.000 0.000 0.000 [1 per cell]
La 0.000 0.500 0.241 [4 per cell]
La 0.500 0.500 0.000 [1 per cell]
Pr 0.000 0.000 0.500 [1 per cell]
Zn 0.500 0.500 0.394 [2 per cell]

density of states at the Fermi level	12.7	states/eV/cell
spin magnetization	0.000	μB per formula unit
V	297.3	Å³/cell
electronic total energy	-4.12	eV/atom
E above lowest polymorph	113.9	meV per atom
density	6.2	g/cm3


No. 11
Below is a relaxed LaPr2Zn6 crystal, with properties calculated at the PBE-GGA level.

Cell: 8.0007 8.0007 3.6591 Å, 90.00 90.00 120.00°
Space group P6/mmm (No. 191)
Inequivalent atoms, fractional coordinates:
La 0.0000 0.0000 0.0000 [1 per cell]
Pr 0.3333 0.6667 0.0000 [2 per cell]
Zn 0.0000 0.3350 0.5000 [6 per cell]

density of states at the Fermi level	8.5	states/eV/cell
spin magnetization	0.000	μB per formula unit
V	202.8	Å³/cell
electronic total energy	-2.80	eV/atom
density	6.7	g/cm3


No. 12
Below is a relaxed La2Pr8Zn crystal, with properties calculated at the PBE-GGA level.

Cell: 19.745 5.812 6.652 Å, 90.00 93.38 90.00°
Space group C2/m (No. 12)
Inequivalent atoms, fractional coordinates:
La 0.236 0.000 0.331 [4 per cell]
Pr 0.039 0.000 0.252 [4 per cell]
Pr 0.078 0.500 0.611 [4 per cell]
Pr 0.154 0.000 0.809 [4 per cell]
Pr 0.154 0.500 0.122 [4 per cell]
Zn 0.000 0.500 0.000 [2 per cell]

density of states at the Fermi level	29.7	states/eV/cell
spin magnetization	0.000	μB per formula unit
V	762.0	Å³/cell
electronic total energy	-4.50	eV/atom
E above lowest polymorph	0.0	meV per atom
density	6.4	g/cm3


Q: Which value of density of states at the Fermi level does entry 4 give?
A: 46.8 states/eV/cell


Q: Among the records above, which one has the highest electronic total energy?
A: LaPr2Zn6


Q: Which of these has the lowest V?
A: La2PrZn


Q: V of number 4 (La9Pr4Zn11)?
A: 1288.4 Å³/cell